SmGa4Pd2: optimized geometry, PBE-GGA.

## Properties
Formation enthalpy at 0 K   -0.6955 eV per atom
Total DFT energy (no corrections)   -128.3 eV/cell
Density of states at the Fermi level   0.3733 states/eV/atom
M_tot   0.00 μB per cell

abc: 17.563 4.376 6.568
angles: 90.00 90.00 90.00
Fractional positions:
Sm: 0.140 0.250 0.008
Sm: 0.360 0.750 0.508
Sm: 0.640 0.250 0.492
Sm: 0.860 0.750 0.992
Ga: 0.037 0.750 0.835
Ga: 0.073 0.250 0.486
Ga: 0.182 0.750 0.318
Ga: 0.190 0.750 0.721
Ga: 0.310 0.250 0.221
Ga: 0.318 0.250 0.818
Ga: 0.427 0.750 0.986
Ga: 0.463 0.250 0.335
Ga: 0.537 0.750 0.665
Ga: 0.573 0.250 0.014
Ga: 0.682 0.750 0.182
Ga: 0.690 0.750 0.779
Ga: 0.810 0.250 0.279
Ga: 0.818 0.250 0.682
Ga: 0.927 0.750 0.514
Ga: 0.963 0.250 0.165
Pd: 0.034 0.750 0.250
Pd: 0.218 0.250 0.525
Pd: 0.282 0.750 0.025
Pd: 0.466 0.250 0.750
Pd: 0.534 0.750 0.250
Pd: 0.718 0.250 0.975
Pd: 0.782 0.750 0.475
Pd: 0.966 0.250 0.750